No. 1
DFT (GGA-PBE) results for ZnFe2HAu after structural relaxation.

Computed properties:
crystal system: tetragonal
Fermi-level density of states: 2.46 states/eV/f.u.
raw total energy: -4.909 eV/atom
total moment: 4.85 μB/f.u.
space-group type: P4/mmm (123)

Cell lengths 3.6982, 3.6982, 4.2177 Å; angles 90.00, 90.00, 90.00 degrees
With the nearest neighbours (Å) after each atom.
Sites, in units of the cell vectors:
1 Zn 0.0000 0.0000 0.0000  2 H 2.11
2 Fe 0.0000 0.5000 0.5000  2 H 1.85
3 Fe 0.5000 0.0000 0.5000  2 H 1.85
4 H 0.0000 0.0000 0.5000  4 Fe 1.85
5 Au 0.5000 0.5000 0.0000  4 Zn 2.62, 8 Fe 2.80

***

No. 2
DFT (GGA-PBE) results for AlAg2Te after structural relaxation.

Computed properties:
crystal system: monoclinic
Fermi-level density of states: 1.35 states/eV/f.u.
raw total energy: -3.086 eV/atom
total moment: 0.00 μB/f.u.
space-group type: C2/m (12)

Cell lengths 4.5690, 4.5690, 5.8546 Å; angles 100.95, 100.95, 46.27 degrees
With the nearest neighbours (Å) after each atom.
Sites, in units of the cell vectors:
1 Al 0.0000 0.0000 0.0000  6 Ag 2.67-2.77
2 Ag 0.2601 0.2601 0.8028  3 Al 2.67-2.77, 1 Te 2.95, 2 Ag 2.96
3 Ag 0.7399 0.7399 0.1972  3 Al 2.67-2.77, 1 Te 2.95, 2 Ag 2.96
4 Te 0.5000 0.5000 0.5000  6 Ag 2.95-3.09